Entry 1:
The following is a DFT calculation (PBE-GGA) of crystalline CsAl2C at its relaxed geometry.

Cell lengths 6.565, 6.565, 6.565 Å; angles 119.99, 119.99, 90.02 degrees
Element x y z (fractional)
Cs 0.000 0.000 0.000
Cs 0.750 0.250 0.500
Al 0.374 0.625 0.249
Al 0.375 0.624 0.749
Al 0.376 0.125 0.751
Al 0.875 0.626 0.251
C 0.250 0.750 0.500
C 0.500 0.500 0.000

**Energy of formation**: 0.71 eV per atom

---

Entry 2:
The following is a DFT calculation (PBE-GGA) of crystalline Ac2PrCo at its relaxed geometry.

Cell lengths 10.060, 10.060, 10.060 Å; angles 23.12, 23.12, 23.12 degrees
Element x y z (fractional)
Ac 0.223 0.223 0.223
Ac 0.777 0.777 0.777
Pr 0.000 0.000 0.000
Co 0.500 0.500 0.500

**Energy of formation**: 0.06 eV per atom

---

Entry 3:
The following is a DFT calculation (PBE-GGA) of crystalline UTc2P at its relaxed geometry.

Cell lengths 5.500, 5.500, 5.500 Å; angles 41.94, 41.94, 41.94 degrees
Element x y z (fractional)
U 0.000 0.000 0.000
Tc 0.223 0.223 0.223
Tc 0.777 0.777 0.777
P 0.500 0.500 0.500

**Energy of formation**: -0.10 eV per atom

---

Entry 4:
The following is a DFT calculation (PBE-GGA) of crystalline Ag2SbI at its relaxed geometry.

Cell lengths 7.451, 7.451, 7.451 Å; angles 125.26, 125.26, 81.11 degrees
Element x y z (fractional)
Ag 0.102 0.625 0.977
Ag 0.375 0.352 0.477
Ag 0.648 0.125 0.023
Ag 0.875 0.898 0.523
Sb 0.000 0.000 0.000
Sb 0.750 0.250 0.500
I 0.250 0.750 0.500
I 0.500 0.500 0.000

**Energy relative to the elements, uncorrected**: 146 meV/atom

---

Entry 5:
The following is a DFT calculation (PBE-GGA) of crystalline HoTm2Ga at its relaxed geometry.

Cell lengths 10.276, 10.276, 10.276 Å; angles 19.93, 19.93, 19.93 degrees
Element x y z (fractional)
Ho 0.000 0.000 0.000
Tm 0.238 0.238 0.238
Tm 0.429 0.429 0.429
Ga 0.834 0.834 0.834

**Energy of formation**: -0.20 eV per atom

---

Entry 6:
The following is a DFT calculation (PBE-GGA) of crystalline LiInPb at its relaxed geometry.

Cell lengths 3.340, 5.966, 7.724 Å; angles 89.55, 89.77, 77.19 degrees
Element x y z (fractional)
Li 0.000 0.000 0.000
Li 0.159 0.613 0.421
In 0.559 0.821 0.712
In 0.834 0.297 0.677
Pb 0.461 0.076 0.328
Pb 0.687 0.535 0.080

**Energy of formation**: -0.13 eV per atom

---

Entry 7:
The following is a DFT calculation (PBE-GGA) of crystalline LiTaSi2H at its relaxed geometry.

Cell lengths 4.809, 4.809, 2.829 Å; angles 90.00, 90.00, 90.00 degrees
Element x y z (fractional)
Li 0.000 0.000 0.000
Ta 0.500 0.500 0.500
Si 0.000 0.500 0.000
Si 0.500 0.000 0.000
H 0.000 0.000 0.500

**Total DFT energy (no corrections)**: -25.72 eV/cell

---

Entry 8:
The following is a DFT calculation (PBE-GGA) of crystalline MgZrBr at its relaxed geometry.

Cell lengths 7.695, 7.691, 3.281 Å; angles 77.74, 77.63, 24.62 degrees
Element x y z (fractional)
Mg 0.000 0.000 0.000
Zr 0.645 0.645 0.355
Br 0.263 0.263 0.737

**Energy relative to the elements, uncorrected**: -330 meV/atom

---

Entry 9:
The following is a DFT calculation (PBE-GGA) of crystalline CsRb2SnAu at its relaxed geometry.

Cell lengths 7.225, 7.225, 5.253 Å; angles 90.00, 90.00, 90.00 degrees
Element x y z (fractional)
Cs 0.000 0.000 0.000
Rb 0.000 0.500 0.500
Rb 0.500 0.000 0.500
Sn 0.500 0.500 0.500
Au 0.500 0.500 0.000

**Energy of formation**: -0.02 eV per atom

---

Entry 10:
The following is a DFT calculation (PBE-GGA) of crystalline YHoIr at its relaxed geometry.

Cell lengths 6.813, 6.813, 6.813 Å; angles 150.54, 150.54, 42.15 degrees
Element x y z (fractional)
Y 0.000 0.000 0.000
Ho 0.744 0.744 0.000
Ir 0.369 0.369 0.000

**Energy of formation**: -0.58 eV per atom

---

Entry 11:
The following is a DFT calculation (PBE-GGA) of crystalline Ca2Zn2In at its relaxed geometry.

Cell lengths 5.746, 5.746, 5.746 Å; angles 118.55, 118.55, 92.54 degrees
Element x y z (fractional)
Ca 0.250 0.750 0.500
Ca 0.750 0.250 0.500
Zn 0.149 0.149 0.000
Zn 0.851 0.851 0.000
In 0.500 0.500 0.000

**Energy of formation**: -0.13 eV per atom

---

Entry 12:
The following is a DFT calculation (PBE-GGA) of crystalline SrFeI at its relaxed geometry.

Cell lengths 9.130, 9.130, 5.592 Å; angles 103.98, 103.98, 25.64 degrees
Element x y z (fractional)
Sr 0.000 0.000 0.000
Sr 0.698 0.698 0.478
Fe 0.079 0.079 0.577
Fe 0.514 0.514 0.490
I 0.197 0.197 0.986
I 0.368 0.368 0.614

**Energy relative to the elements, uncorrected**: -266 meV/atom